Model i:
4
Lattice="3.033 0.000 0.000 0.000 3.279 0.000 -0.025 0.000 6.068" Properties=species:S:1:pos:R:3 comment="PBE-GGA As2IrRu, optimized geometry" spacegroup="P2/m, No. 10" pbc="T T T"
As -0.003 0.000 1.488
As 3.010 0.000 4.579
Ir 1.504 1.640 3.034
Ru 1.516 1.640 0.000

Model ii:
4
Lattice="0.000 3.163 3.163 3.163 0.000 3.163 3.163 3.163 0.000" Properties=species:S:1:pos:R:3 comment="PBE-GGA As2IrRu, optimized geometry" spacegroup="F-43m, No. 216" pbc="T T T"
As 0.000 0.000 0.000
As 1.582 1.582 1.582
Ir 3.163 3.163 3.163
Ru 4.745 4.745 4.745

Relative to the most stable one, in meV per atom, the structures come out at model i 0; model ii 389.

Model i:
4
Lattice="-1.530 2.157 4.799 1.530 -2.157 4.799 1.530 2.157 -4.799" Properties=species:S:1:pos:R:3 comment="PBE-GGA As2IrRu, optimized geometry" spacegroup="Imm2, No. 44" pbc="T T T"
As 0.000 0.000 0.000
As 0.000 2.157 2.163
Ir 1.530 0.000 2.091
Ru 0.000 0.000 4.920

Model ii:
4
Lattice="1.497 0.864 7.827 -1.497 0.864 7.827 0.000 -1.729 7.827" Properties=species:S:1:pos:R:3 comment="PBE-GGA As2IrRu, optimized geometry" spacegroup="R-3m, No. 166" pbc="T T T"
As 0.000 0.000 5.804
As 0.000 0.000 17.677
Ir 0.000 0.000 0.000
Ru 0.000 0.000 11.740

Model iii:
4
Lattice="3.988 -1.505 0.000 3.988 1.505 0.000 -1.134 0.000 5.067" Properties=species:S:1:pos:R:3 comment="PBE-GGA As2IrRu, optimized geometry" spacegroup="C2/m, No. 12" pbc="T T T"
As 1.693 0.000 1.233
As 5.148 0.000 3.833
Ir -0.567 0.000 2.533
Ru 3.988 0.000 0.000

Model iv:
4
Lattice="1.483 -2.567 0.000 1.483 2.567 0.000 0.000 0.000 8.342" Properties=species:S:1:pos:R:3 comment="PBE-GGA As2IrRu, optimized geometry" spacegroup="Cmmm, No. 65" pbc="T T T"
As 0.000 0.000 2.037
As 0.000 0.000 6.306
Ir 1.483 0.000 4.171
Ru 1.483 0.000 0.000

Relative to the most stable one, in meV per atom, the structures come out at model i 137; model ii 0; model iii 10; model iv 379.

Model i:
6
Lattice="0.000 3.735 3.735 3.735 0.000 3.735 3.735 3.735 0.000" Properties=species:S:1:pos:R:3 comment="PBE-GGA As4IrRu, optimized geometry" spacegroup="F-43m, No. 216" pbc="T T T"
As 0.935 0.935 0.935
As 2.800 2.800 0.935
As 2.800 0.935 2.800
As 0.935 2.800 2.800
Ir 5.602 5.602 5.602
Ru 3.735 3.735 3.735

Model ii:
12
Lattice="6.022 0.000 0.000 0.000 6.011 0.000 -0.028 0.000 6.004" Properties=species:S:1:pos:R:3 comment="PBE-GGA As4IrRu, optimized geometry" spacegroup="P2_1/c, No. 14" pbc="T T T"
As 0.707 0.738 2.279
As 0.693 2.268 5.281
As 2.266 3.712 2.288
As 2.252 5.304 5.290
As 3.742 0.706 0.714
As 3.728 2.299 3.716
As 5.301 3.743 0.724
As 5.287 5.273 3.726
Ir 2.997 0.000 3.002
Ir 3.011 3.005 0.000
Ru 0.000 0.000 0.000
Ru -0.014 3.005 3.002

Relative to the most stable one, in meV per atom, the structures come out at model i 1135; model ii 0.

Model i:
4
Lattice="0.000 3.104 3.104 3.104 0.000 3.104 3.104 3.104 0.000" Properties=species:S:1:pos:R:3 comment="PBE-GGA AsIr2S, optimized geometry" spacegroup="Fm-3m, No. 225" pbc="T T T"
As 0.000 0.000 0.000
Ir 1.552 1.552 1.552
Ir 4.656 4.656 4.656
S 3.104 3.104 3.104

Model ii:
8
Lattice="-2.622 2.622 5.685 2.622 -2.622 5.685 2.622 2.622 -5.685" Properties=species:S:1:pos:R:3 comment="PBE-GGA AsIr2S, optimized geometry" spacegroup="I-42d, No. 122" pbc="T T T"
As 0.000 0.000 0.000
As 0.000 2.622 2.842
Ir 1.311 -1.148 4.264
Ir 1.474 1.311 1.421
Ir 1.311 3.770 -1.421
Ir 1.148 1.311 7.106
S 2.622 0.000 2.842
S 0.000 0.000 5.685

Relative to the most stable one, in meV per atom, the structures come out at model i 416; model ii 0.

Model i:
4
Lattice="0.000 3.345 3.345 3.345 0.000 3.345 3.345 3.345 0.000" Properties=species:S:1:pos:R:3 comment="PBE-GGA SbAs2Ir, optimized geometry" spacegroup="Fm-3m, No. 225" pbc="T T T"
Sb 0.000 0.000 0.000
As 1.673 1.673 1.673
As 5.018 5.018 5.018
Ir 3.345 3.345 3.345

Model ii:
4
Lattice="-1.697 2.109 5.793 1.697 -2.109 5.793 1.697 2.109 -5.793" Properties=species:S:1:pos:R:3 comment="PBE-GGA SbAs2Ir, optimized geometry" spacegroup="Imm2, No. 44" pbc="T T T"
Sb 0.000 0.000 0.000
As 0.000 0.000 4.142
As 0.000 2.109 2.154
Ir 1.697 0.000 2.249

Model iii:
4
Lattice="4.693 0.000 0.000 0.000 3.813 0.000 -1.902 0.000 4.581" Properties=species:S:1:pos:R:3 comment="PBE-GGA SbAs2Ir, optimized geometry" spacegroup="P2/m, No. 10" pbc="T T T"
Sb 0.000 0.000 0.000
As -0.024 1.907 3.124
As 2.815 1.907 1.456
Ir 1.395 0.000 2.290

Relative to the most stable one, in meV per atom, the structures come out at model i 488; model ii 211; model iii 0.

Model i:
5
Lattice="4.859 0.000 0.000 0.000 4.859 0.000 0.000 0.000 4.859" Properties=species:S:1:pos:R:3 comment="PBE-GGA ScAs3Ir, optimized geometry" spacegroup="Pm-3m, No. 221" pbc="T T T"
Sc 0.000 0.000 0.000
As 0.000 2.429 2.429
As 2.429 0.000 2.429
As 2.429 2.429 0.000
Ir 2.429 2.429 2.429

Model ii:
5
Lattice="4.938 0.000 0.000 0.000 4.938 0.000 0.000 0.000 4.938" Properties=species:S:1:pos:R:3 comment="PBE-GGA ScAs3Ir, optimized geometry" spacegroup="Pm-3m, No. 221" pbc="T T T"
Sc 0.000 0.000 0.000
As 0.000 0.000 2.469
As 0.000 2.469 0.000
As 2.469 0.000 0.000
Ir 2.469 2.469 2.469

Relative to the most stable one, in meV per atom, the structures come out at model i 0; model ii 690.

Model i:
4
Lattice="0.000 3.266 3.266 3.266 0.000 3.266 3.266 3.266 0.000" Properties=species:S:1:pos:R:3 comment="PBE-GGA Sc2AsIr, optimized geometry" spacegroup="F-43m, No. 216" pbc="T T T"
Sc 0.000 0.000 0.000
Sc 1.633 1.633 1.633
As 4.898 4.898 4.898
Ir 3.266 3.266 3.266

Model ii:
4
Lattice="1.790 1.033 8.574 -1.790 1.033 8.574 0.000 -2.067 8.574" Properties=species:S:1:pos:R:3 comment="PBE-GGA Sc2AsIr, optimized geometry" spacegroup="R-3m, No. 166" pbc="T T T"
Sc 0.000 0.000 2.696
Sc 0.000 0.000 23.025
As 0.000 0.000 0.000
Ir 0.000 0.000 12.861

Relative to the most stable one, in meV per atom, the structures come out at model i 0; model ii 151.

Model i:
5
Lattice="4.982 0.000 0.000 0.000 4.982 0.000 0.000 0.000 4.920" Properties=species:S:1:pos:R:3 comment="PBE-GGA ScAs2IrSe, optimized geometry" spacegroup="P4/mmm, No. 123" pbc="T T T"
Sc 0.000 0.000 0.000
As 0.000 2.491 0.000
As 2.491 0.000 0.000
Ir 2.491 2.491 2.460
Se 0.000 0.000 2.460

Model ii:
5
Lattice="4.706 0.000 0.000 0.000 4.706 0.000 0.000 0.000 5.288" Properties=species:S:1:pos:R:3 comment="PBE-GGA ScAs2IrSe, optimized geometry" spacegroup="P4/mmm, No. 123" pbc="T T T"
Sc 0.000 0.000 0.000
As 0.000 2.353 2.644
As 2.353 0.000 2.644
Ir 2.353 2.353 2.644
Se 2.353 2.353 0.000

Relative to the most stable one, in meV per atom, the structures come out at model i 716; model ii 0.